ReHg2Rh | the Alexandria database | GGA-PBE | optimized geometry; mass density = 16.2 g cm⁻³; excess energy over the best structure of this formula in the dataset = 549 meV per atom; calculated total energy = -4.279 eV per atom; formation enthalpy at 0 K = 0.821 eV/atom; crystal system = cubic
1.0
0.000 3.282 3.282
3.282 0.000 3.282
3.282 3.282 0.000
Re Rh Hg
1 1 2
direct
0.500 0.500 0.500
0.000 0.000 0.000
0.250 0.250 0.250
0.750 0.750 0.750